[1]
# NpAgTe2 (GGA-PBE, optimized geometry)
# Formation energy without anion corrections, eV/atom: -0.32
# Crystal system: trigonal
# Magnetic moment, μB per atom: 1.00
data_NpAgTe2
_chemical_formula_sum 'Np3 Ag3 Te6'
_space_group_name_H-M_alt 'R -3 m'
_space_group_IT_number 166
_space_group_name_Hall '-R 3 2"'
_cell_length_a 4.5743
_cell_length_b 4.5743
_cell_length_c 25.9016
_cell_angle_alpha 90.00
_cell_angle_beta 90.00
_cell_angle_gamma 120.00
loop_
_atom_site_label
_atom_site_type_symbol
_atom_site_fract_x
_atom_site_fract_y
_atom_site_fract_z
_atom_site_occupancy
Np1 Np 0.0000 0.0000 0.0000 1
Ag1 Ag 0.0000 0.0000 0.5000 1
Te1 Te 0.0000 0.0000 0.3978 1

[2]
# PmSm6Ho3Er2 (GGA-PBE, optimized geometry)
# ΔH_f (0 K), eV per atom: 0.02
# Crystal system: monoclinic
# Magnetic moment, μB per atom: 0.00
data_PmSm6Ho3Er2
_chemical_formula_sum 'Pm2 Sm12 Ho6 Er4'
_space_group_name_H-M_alt 'C 1 2/m 1'
_space_group_IT_number 12
_cell_length_a 6.214
_cell_length_b 10.758
_cell_length_c 11.831
_cell_angle_alpha 90.00
_cell_angle_beta 100.04
_cell_angle_gamma 90.00
loop_
_space_group_symop_operation_xyz
'x,y,z'
'-x,-y,-z'
'-x,y,-z'
'x,-y,z'
'x+1/2,y+1/2,z'
'-x+1/2,-y+1/2,-z'
'-x+1/2,y+1/2,-z'
'x+1/2,-y+1/2,z'
loop_
_atom_site_label
_atom_site_type_symbol
_atom_site_fract_x
_atom_site_fract_y
_atom_site_fract_z
_atom_site_occupancy
Pm1 Pm 0.000 0.000 0.000 1
Sm1 Sm 0.249 0.333 0.749 1
Sm2 Sm 0.250 0.000 0.749 1
Ho1 Ho 0.000 0.167 0.500 1
Ho2 Ho 0.000 0.500 0.500 1
Er1 Er 0.000 0.333 0.000 1

[3]
# CoRhSe (GGA-PBE, optimized geometry)
# Formation energy without anion corrections, eV/atom: 0.22
# Crystal system: trigonal
# Energy relative to the lowest polymorph listed for this composition, meV per atom: 171.3
# Magnetic moment, μB per atom: 0.54
data_CoRhSe
_chemical_formula_sum 'Co1 Rh1 Se1'
_space_group_name_H-M_alt 'P 3 m 1'
_space_group_IT_number 156
_cell_length_a 2.9477
_cell_length_b 2.9477
_cell_length_c 5.7437
_cell_angle_alpha 90.00
_cell_angle_beta 90.00
_cell_angle_gamma 120.00
loop_
_space_group_symop_operation_xyz
'x,y,z'
'-y,x-y,z'
'-x+y,-x,z'
'-y,-x,z'
'-x+y,y,z'
'x,x-y,z'
loop_
_atom_site_label
_atom_site_type_symbol
_atom_site_fract_x
_atom_site_fract_y
_atom_site_fract_z
_atom_site_occupancy
Co1 Co 0.0000 0.0000 0.0000 1
Rh1 Rh 0.6667 0.3333 0.3472 1
Se1 Se 0.3333 0.6667 0.6993 1

[4]
# HgAu (GGA-PBE, optimized geometry)
# ΔH_f (0 K), eV per atom: 0.12
# Crystal system: tetragonal
# Magnetic moment, μB per atom: 0.00
data_HgAu
_chemical_formula_sum 'Hg4 Au4'
_space_group_name_H-M_alt 'P 42/m n m'
_space_group_IT_number 136
_space_group_name_Hall '-P 4n 2n'
_cell_length_a 5.560
_cell_length_b 5.560
_cell_length_c 5.951
_cell_angle_alpha 90.00
_cell_angle_beta 90.00
_cell_angle_gamma 90.00
loop_
_atom_site_label
_atom_site_type_symbol
_atom_site_fract_x
_atom_site_fract_y
_atom_site_fract_z
_atom_site_occupancy
Hg1 Hg 0.189 0.189 0.000 1
Au1 Au 0.184 0.184 0.500 1